The following is a DFT calculation (GGA+U) of a geometry-optimized ScPaFeO6 structure.

calculated density	6.48	Mg/m³
total magnetization	2.0	μB/f.u.
VASP energy	-73.907	eV for the cell shown

Structure (extended XYZ):
```
9
Lattice="-4.103 -2.498 0.091 1.892 -3.235 -3.509 0.687 -0.947 4.998" Properties=species:S:1:pos:R:3 pbc="T T T"
Sc -2.051 -1.249 0.045
Pa 1.089 -1.709 2.163
Fe -0.561 -3.721 -0.628
O -1.292 -4.577 0.937
O -2.293 -3.005 -1.075
O -0.912 -5.295 -1.683
O -0.204 -2.158 0.441
O 0.160 -2.850 -2.188
O 1.173 -4.442 -0.198
```